[1]
# Li3RuCl

A relaxed Li3RuCl crystal (PBE-GGA, the Alexandria database).

Cell and atoms, written as CIF:
```
data_Li3RuCl
_chemical_formula_sum 'Li3 Ru1 Cl1'
_space_group_name_H-M_alt 'P m -3 m'
_space_group_IT_number 221
_space_group_name_Hall '-P 4 2 3'
_cell_length_a 4.490
_cell_length_b 4.490
_cell_length_c 4.490
_cell_angle_alpha 90.00
_cell_angle_beta 90.00
_cell_angle_gamma 90.00
loop_
_atom_site_label
_atom_site_type_symbol
_atom_site_fract_x
_atom_site_fract_y
_atom_site_fract_z
Li1 Li 0.000 0.000 0.500
Ru1 Ru 0.500 0.500 0.500
Cl1 Cl 0.000 0.000 0.000
```

* uncorrected energy: -3.270 eV per atom
* M_tot: 2.00 μB per formula unit
* raw formation energy: 0.1027 eV/atom



[2]
# AlV6Ga

A relaxed AlV6Ga crystal (PBE-GGA, the Alexandria database).

Cell and atoms, written as CIF:
```
data_AlV6Ga
_chemical_formula_sum 'Al1 V6 Ga1'
_space_group_name_H-M_alt 'P m -3'
_space_group_IT_number 200
_space_group_name_Hall '-P 2 2 3'
_cell_length_a 4.792
_cell_length_b 4.792
_cell_length_c 4.792
_cell_angle_alpha 90.00
_cell_angle_beta 90.00
_cell_angle_gamma 90.00
loop_
_atom_site_label
_atom_site_type_symbol
_atom_site_fract_x
_atom_site_fract_y
_atom_site_fract_z
Al1 Al 0.000 0.000 0.000
V1 V 0.000 0.249 0.500
Ga1 Ga 0.500 0.500 0.500
```

* uncorrected energy: -7.842 eV per atom
* M_tot: 1.71 μB per formula unit



[3]
# Li8Cd3Rh2

A relaxed Li8Cd3Rh2 crystal (PBE-GGA, the Alexandria database).

Cell and atoms, written as CIF:
```
data_Li8Cd3Rh2
_chemical_formula_sum 'Li24 Cd9 Rh6'
_space_group_name_H-M_alt 'R -3 m'
_space_group_IT_number 166
_space_group_name_Hall '-R 3 2"'
_cell_length_a 4.9862
_cell_length_b 4.9862
_cell_length_c 29.5040
_cell_angle_alpha 90.00
_cell_angle_beta 90.00
_cell_angle_gamma 120.00
loop_
_atom_site_label
_atom_site_type_symbol
_atom_site_fract_x
_atom_site_fract_y
_atom_site_fract_z
Li1 Li 0.0000 0.0000 0.2202
Li2 Li 0.0024 0.5012 0.7367
Cd1 Cd 0.0000 0.0000 0.3180
Cd2 Cd 0.0000 0.0000 0.5000
Rh1 Rh 0.0000 0.0000 0.1409
```

* uncorrected energy: -2.539 eV per atom
* M_tot: 0.00 μB per formula unit



[4]
# Ac3Tl2Hg6

A relaxed Ac3Tl2Hg6 crystal (PBE-GGA, the Alexandria database).

Cell and atoms, written as CIF:
```
data_Ac3Tl2Hg6
_chemical_formula_sum 'Ac6 Tl4 Hg12'
_space_group_name_H-M_alt 'I 4/m m m'
_space_group_IT_number 139
_space_group_name_Hall '-I 4 2'
_cell_length_a 4.456
_cell_length_b 4.456
_cell_length_c 35.370
_cell_angle_alpha 90.00
_cell_angle_beta 90.00
_cell_angle_gamma 90.00
loop_
_atom_site_label
_atom_site_type_symbol
_atom_site_fract_x
_atom_site_fract_y
_atom_site_fract_z
Ac1 Ac 0.000 0.000 0.000
Ac2 Ac 0.000 0.000 0.177
Tl1 Tl 0.000 0.000 0.364
Hg1 Hg 0.000 0.000 0.272
Hg2 Hg 0.000 0.500 0.072
```

* uncorrected energy: -1.956 eV per atom
* M_tot: 0.00 μB per formula unit



[5]
# EuScSnPb

A relaxed EuScSnPb crystal (PBE-GGA, the Alexandria database).

Cell and atoms, written as CIF:
```
data_EuScSnPb
_chemical_formula_sum 'Eu4 Sc4 Sn4 Pb4'
_space_group_name_H-M_alt 'F -4 3 m'
_space_group_IT_number 216
_space_group_name_Hall 'F -4 2 3'
_cell_length_a 7.585
_cell_length_b 7.585
_cell_length_c 7.585
_cell_angle_alpha 90.00
_cell_angle_beta 90.00
_cell_angle_gamma 90.00
loop_
_atom_site_label
_atom_site_type_symbol
_atom_site_fract_x
_atom_site_fract_y
_atom_site_fract_z
Eu1 Eu 0.000 0.000 0.000
Sc1 Sc 0.000 0.000 0.500
Sn1 Sn 0.250 0.250 0.250
Pb1 Pb 0.250 0.250 0.750
```

* uncorrected energy: -6.505 eV per atom
* M_tot: 7.02 μB per formula unit



[6]
# Ho2ErGeC

A relaxed Ho2ErGeC crystal (PBE-GGA, the Alexandria database).

Cell and atoms, written as CIF:
```
data_Ho2ErGeC
_chemical_formula_sum 'Ho2 Er1 Ge1 C1'
_space_group_name_H-M_alt 'P 4/m m m'
_space_group_IT_number 123
_space_group_name_Hall '-P 4 2'
_cell_length_a 4.790
_cell_length_b 4.790
_cell_length_c 4.764
_cell_angle_alpha 90.00
_cell_angle_beta 90.00
_cell_angle_gamma 90.00
loop_
_atom_site_label
_atom_site_type_symbol
_atom_site_fract_x
_atom_site_fract_y
_atom_site_fract_z
Ho1 Ho 0.000 0.500 0.000
Er1 Er 0.000 0.000 0.500
Ge1 Ge 0.500 0.500 0.500
C1 C 0.000 0.000 0.000
```

* uncorrected energy: -6.063 eV per atom
* M_tot: 0.00 μB per formula unit



Q: Which formula does entry 5 have?
A: EuScSnPb



Q: Look up the M_tot of the fourth one.
A: 0.00 μB per formula unit



Q: Which of these has the highest M_tot?
A: EuScSnPb



Q: Which value of M_tot does entry 2 give?
A: 1.71 μB per formula unit